DFT (meta-GGA SCAN) results for a PBEsol-optimized structure of PtAu3.

Energy relative to the elements: 0.048 eV/atom
Total moment: 0.0 μB per formula unit
Electronic total energy: -69.37 eV/atom
SG: P4/mmm

a = 2.8464 Å, b = 2.8464 Å, c = 8.1051 Å
α = 90.00°, β = 90.00°, γ = 90.00°
Atoms (fractional coordinates):
1 Pt 0.5000 0.5000 0.5000
2 Au 0.5000 0.5000 0.0000
3 Au 0.0000 0.0000 0.7440
4 Au 0.0000 0.0000 0.2560



DFT (meta-GGA SCAN) results for a PBEsol-optimized structure of Al2CrRu.

Energy relative to the elements: -0.190 eV/atom
Total moment: 0.0 μB per formula unit
Electronic total energy: -17.37 eV/atom
SG: Cmmm

a = 2.6594 Å, b = 2.6594 Å, c = 8.0822 Å
α = 90.00°, β = 90.00°, γ = 111.98°
Atoms (fractional coordinates):
1 Cr 0.5000 0.5000 0.5000
2 Al 0.0000 0.0000 0.2504
3 Al 0.0000 0.0000 0.7496
4 Ru 0.5000 0.5000 0.0000



DFT (meta-GGA SCAN) results for a PBEsol-optimized structure of LaTa2Mo.

Energy relative to the elements: 0.491 eV/atom
Total moment: 0.0 μB per formula unit
Electronic total energy: -52.30 eV/atom
SG: R-3m

a = 3.1247 Å, b = 3.1247 Å, c = 9.6879 Å
α = 80.72°, β = 80.72°, γ = 60.00°
Atoms (fractional coordinates):
1 La 0.5000 0.5000 0.5000
2 Ta 0.2643 0.2643 0.2070
3 Ta 0.7357 0.7357 0.7930
4 Mo 0.0000 0.0000 0.0000